Here is a geometry-optimized Mg2TaNiAu structure from the Alexandria database. Energies are from GGA-PBE.

Properties
formation enthalpy at 0 K	0.737	eV per atom
V	95	Å³/cell
SG	P4/mmm, No. 123
mass density	8.4	g/cm³

a = 4.4662 Å, b = 4.7874 Å, c = 4.4662 Å
α = 90.00°, β = 90.00°, γ = 90.00°
With the nearest neighbours (Å) after each atom.
Sites, in units of the cell vectors:
Ni: 0.0000 0.0000 0.0000  4 Mg 2.23, 2 Au 2.39
Mg: 0.0000 0.0000 0.5000  2 Ni 2.23
Mg: 0.5000 0.0000 0.0000  2 Ni 2.23
Au: 0.0000 0.5000 0.0000  2 Ni 2.39
Ta: 0.5000 0.5000 0.5000  4 Au 3.16, 8 Mg 3.27